(1)
Computed, not measured: NaLa2Ag after structural relaxation at the PBE level of DFT.

Geometry as POSCAR:
```
NaLa2Ag
1.0
-3.376 1.087 -0.863
-2.794 -2.333 0.274
-3.762 2.902 10.658
Ag La Na
1 2 1
Cartesian
-7.875 2.071 10.264
-2.418 0.288 2.104
-3.400 2.198 8.355
-4.967 0.829 5.038
```

Summary:
* polymorph energy (0 for the lowest one): 72 meV/atom
* SG: R3m (160)
* ΔH_f (0 K): 0.067 eV per atom
* theoretical density: 5.1 Mg/m³
* V: 33.11 Å³/atom



(2)
Computed, not measured: NaLa2Ag after structural relaxation at the PBE level of DFT.

Geometry as POSCAR:
```
NaLa2Ag
1.0
8.908 0.000 0.000
0.000 8.908 0.000
4.454 4.454 3.304
La Na Ag
4 2 2
Cartesian
1.909 6.681 0.826
11.135 11.453 2.478
6.681 6.363 2.478
6.999 2.227 0.826
4.454 4.454 0.000
4.454 8.908 1.652
0.000 0.000 0.000
8.908 4.454 1.652
```

Summary:
* polymorph energy (0 for the lowest one): 197 meV/atom
* SG: I-42d (122)
* ΔH_f (0 K): 0.192 eV per atom
* theoretical density: 5.2 Mg/m³
* V: 32.77 Å³/atom



(3)
Computed, not measured: Na2LaAg2 after structural relaxation at the PBE level of DFT.

Geometry as POSCAR:
```
Na2LaAg2
1.0
8.796 0.000 0.000
0.000 8.796 0.000
0.000 0.000 3.217
Ag La Na
4 2 4
Cartesian
2.782 1.616 1.609
6.014 7.180 1.609
1.616 6.014 1.609
7.180 2.782 1.609
0.000 0.000 0.000
4.398 4.398 0.000
1.022 3.376 0.000
5.420 1.022 0.000
7.774 5.420 0.000
3.376 7.774 0.000
```

Summary:
* polymorph energy (0 for the lowest one): 88 meV/atom
* SG: P4/mbm (127)
* ΔH_f (0 K): 0.011 eV per atom
* theoretical density: 5.3 Mg/m³
* V: 24.89 Å³/atom



(4)
Computed, not measured: Na2LaAg2 after structural relaxation at the PBE level of DFT.

Geometry as POSCAR:
```
Na2LaAg2
1.0
-2.698 -1.811 2.742
-1.292 -2.678 -3.040
3.256 -7.045 1.848
La Ag Na
1 2 2
Cartesian
0.000 0.000 0.000
-0.996 -3.158 0.231
0.262 -8.376 1.320
-0.016 -5.984 -0.670
-0.719 -5.550 2.221
```

Summary:
* polymorph energy (0 for the lowest one): 0 meV/atom
* SG: I4/mmm (139)
* ΔH_f (0 K): -0.077 eV per atom
* theoretical density: 5.0 Mg/m³
* V: 26.72 Å³/atom



(5)
Computed, not measured: NaLa2Ag after structural relaxation at the PBE level of DFT.

Geometry as POSCAR:
```
NaLa2Ag
1.0
4.682 2.558 1.597
-0.189 3.978 3.893
2.108 -0.958 5.065
La Ag Na
2 1 1
Cartesian
1.650 1.394 2.639
4.951 4.183 7.916
3.300 2.789 5.278
0.000 0.000 0.000
```

Summary:
* polymorph energy (0 for the lowest one): 83 meV/atom
* SG: Fm-3m (225)
* ΔH_f (0 K): 0.078 eV per atom
* theoretical density: 5.6 Mg/m³
* V: 30.54 Å³/atom



(6)
Computed, not measured: NaLa2Ag after structural relaxation at the PBE level of DFT.

Geometry as POSCAR:
```
NaLa2Ag
1.0
3.584 0.000 0.000
0.000 3.584 0.000
0.000 0.000 10.201
La Ag Na
2 1 1
Cartesian
0.000 0.000 2.049
0.000 0.000 8.152
1.792 1.792 0.000
1.792 1.792 5.101
```

Summary:
* polymorph energy (0 for the lowest one): 0 meV/atom
* SG: P4/mmm (123)
* ΔH_f (0 K): -0.005 eV per atom
* theoretical density: 5.2 Mg/m³
* V: 32.76 Å³/atom



(7)
Computed, not measured: Na2La2Ag after structural relaxation at the PBE level of DFT.

Geometry as POSCAR:
```
Na2La2Ag
1.0
7.775 0.000 0.000
0.000 7.775 0.000
0.000 0.000 6.106
La Na Ag
4 4 2
Cartesian
2.797 6.684 0.000
6.684 4.978 0.000
1.091 2.797 0.000
4.978 1.091 0.000
5.187 6.476 3.053
6.476 2.589 3.053
2.589 1.299 3.053
1.299 5.187 3.053
3.888 3.888 0.000
0.000 0.000 0.000
```

Summary:
* polymorph energy (0 for the lowest one): 53 meV/atom
* SG: P4/mbm (127)
* ΔH_f (0 K): 0.260 eV per atom
* theoretical density: 3.9 Mg/m³
* V: 36.91 Å³/atom



(8)
Computed, not measured: NaLaAg3 after structural relaxation at the PBE level of DFT.

Geometry as POSCAR:
```
NaLaAg3
1.0
5.080 0.000 0.000
0.000 5.080 0.000
0.000 0.000 5.080
La Ag Na
1 3 1
Cartesian
2.540 2.540 2.540
0.000 2.540 0.000
2.540 0.000 0.000
0.000 0.000 2.540
0.000 0.000 0.000
```

Summary:
* polymorph energy (0 for the lowest one): 0 meV/atom
* SG: Pm-3m (221)
* ΔH_f (0 K): 0.281 eV per atom
* theoretical density: 6.1 Mg/m³
* V: 26.22 Å³/atom



(9)
Computed, not measured: NaLa2Ag2 after structural relaxation at the PBE level of DFT.

Geometry as POSCAR:
```
NaLa2Ag2
1.0
5.316 0.000 0.000
0.000 5.316 0.000
2.658 2.658 5.880
Na La Ag
1 2 2
Cartesian
0.000 0.000 0.000
2.658 5.316 2.940
5.316 2.658 2.940
5.316 5.316 4.553
2.658 2.658 1.327
```

Summary:
* polymorph energy (0 for the lowest one): 213 meV/atom
* SG: I4/mmm (139)
* ΔH_f (0 K): 0.064 eV per atom
* theoretical density: 5.2 Mg/m³
* V: 33.23 Å³/atom



(10)
Computed, not measured: Na2LaAg2 after structural relaxation at the PBE level of DFT.

Geometry as POSCAR:
```
Na2LaAg2
1.0
-5.186 -4.588 4.143
4.476 -6.517 -1.614
2.233 0.660 3.527
Ag La Na
4 2 4
Cartesian
1.973 -7.407 0.137
-2.683 -3.698 2.391
1.016 -3.015 -0.079
-1.726 -8.091 2.608
0.000 0.000 0.000
-0.355 -5.553 1.264
0.059 -2.271 2.920
1.465 -8.175 3.135
3.242 -4.693 1.358
-1.719 -5.752 4.697
```

Summary:
* polymorph energy (0 for the lowest one): 143 meV/atom
* SG: P4/mbm (127)
* ΔH_f (0 K): 0.066 eV per atom
* theoretical density: 4.8 Mg/m³
* V: 27.52 Å³/atom



(11)
Computed, not measured: NaLa4Ag5 after structural relaxation at the PBE level of DFT.

Geometry as POSCAR:
```
NaLa4Ag5
1.0
3.764 0.000 0.000
0.000 3.764 0.000
0.000 0.000 19.004
La Ag Na
4 5 1
Cartesian
0.000 0.000 11.459
0.000 0.000 3.605
0.000 0.000 7.545
0.000 0.000 15.399
1.882 1.882 9.502
1.882 1.882 17.357
1.882 1.882 13.424
1.882 1.882 1.647
1.882 1.882 5.580
0.000 0.000 0.000
```

Summary:
* SG: P4/mmm (123)
* ΔH_f (0 K): -0.193 eV per atom
* theoretical density: 6.9 Mg/m³
* V: 26.92 Å³/atom



(12)
Computed, not measured: Na3LaAg8 after structural relaxation at the PBE level of DFT.

Geometry as POSCAR:
```
Na3LaAg8
1.0
5.695 0.000 0.000
-2.848 4.932 0.000
0.000 0.000 9.417
Ag Na La
8 3 1
Cartesian
0.000 1.632 2.363
1.444 2.454 7.074
-1.434 4.116 2.363
2.848 0.024 7.074
4.251 2.454 7.074
0.000 3.288 4.705
1.434 4.116 2.363
0.000 3.288 0.002
2.848 1.644 0.552
2.848 1.644 3.920
0.000 0.000 8.996
0.000 0.000 5.307
```

Summary:
* SG: P3m1 (156)
* ΔH_f (0 K): -0.114 eV per atom
* theoretical density: 6.7 Mg/m³
* V: 22.04 Å³/atom



What is the ΔH_f (0 K) in the fourth record?
-0.077 eV per atom



Look up the ΔH_f (0 K) of the eighth one.
0.281 eV per atom